# 1
The following is a DFT calculation (PBE) of a geometry-optimized Cs3Rb3Au structure.

Cell: 9.381 16.462 16.405 Å, 90.00 90.00 90.00°
Sites, in units of the cell vectors:
Cs (0.000, 0.100, 0.899)
Cs (0.000, 0.099, 0.328)
Cs (0.500, 0.171, 0.596)
Cs (0.000, 0.329, 0.096)
Cs (0.500, 0.401, 0.828)
Cs (0.500, 0.400, 0.399)
Cs (0.500, 0.600, 0.601)
Cs (0.500, 0.599, 0.172)
Cs (0.000, 0.671, 0.904)
Cs (0.500, 0.829, 0.404)
Cs (0.000, 0.901, 0.672)
Cs (0.000, 0.900, 0.101)
Rb (0.000, 0.202, 0.606)
Rb (0.500, 0.104, 0.293)
Rb (0.500, 0.102, 0.901)
Rb (0.000, 0.398, 0.401)
Rb (0.000, 0.396, 0.793)
Rb (0.500, 0.298, 0.106)
Rb (0.500, 0.702, 0.894)
Rb (0.000, 0.604, 0.207)
Rb (0.000, 0.602, 0.599)
Rb (0.500, 0.898, 0.099)
Rb (0.500, 0.896, 0.707)
Rb (0.000, 0.798, 0.394)
Au (0.000, 0.116, 0.115)
Au (0.500, 0.384, 0.615)
Au (0.500, 0.616, 0.385)
Au (0.000, 0.884, 0.885)

raw total energy: -35.0 eV per cell
theoretical density: 2.23 g/cm³
space group: Pnnm (58)
total magnetic moment: 0.00 μB/f.u.
N(E_F): 20.121 states/eV/cell

=====

# 2
The following is a DFT calculation (PBE) of a geometry-optimized CsRb7Au6 structure.

Cell: 10.499 10.499 9.131 Å, 54.91 54.91 60.00°
Sites, in units of the cell vectors:
Cs (0.994, 0.994, 0.018)
Rb (0.972, 0.225, 0.292)
Rb (0.438, 0.151, 0.721)
Rb (0.690, 0.438, 0.721)
Rb (0.668, 0.668, 0.997)
Rb (0.225, 0.511, 0.292)
Rb (0.511, 0.972, 0.292)
Rb (0.151, 0.690, 0.721)
Au (0.789, 0.009, 0.807)
Au (0.647, 0.278, 0.206)
Au (0.868, 0.647, 0.206)
Au (0.009, 0.395, 0.807)
Au (0.395, 0.789, 0.807)
Au (0.278, 0.868, 0.206)

raw total energy: -30.8 eV per cell
theoretical density: 4.87 g/cm³
space group: R3 (146)
total magnetic moment: 0.00 μB/f.u.
N(E_F): 5.792 states/eV/cell

=====

# 3
The following is a DFT calculation (PBE) of a geometry-optimized Cs2RbAu structure.

Cell: 4.570 4.570 12.713 Å, 90.00 90.00 90.00°
Sites, in units of the cell vectors:
Cs (0.000, 0.000, 0.839)
Cs (0.000, 0.000, 0.161)
Au (0.500, 0.500, 0.000)
Rb (0.500, 0.500, 0.500)

raw total energy: -6.6 eV per cell
theoretical density: 3.43 g/cm³
space group: P4/mmm (123)
total magnetic moment: 0.00 μB/f.u.
energy above the most stable polymorph in this dataset: 0.06 eV per formula unit
N(E_F): 2.613 states/eV/cell

=====

# 4
The following is a DFT calculation (PBE) of a geometry-optimized Cs5Rb2Au2 structure.

Cell: 8.993 8.993 11.772 Å, 82.32 82.32 47.80°
Sites, in units of the cell vectors:
Cs (0.285, 0.285, 0.130)
Cs (0.715, 0.715, 0.870)
Cs (0.140, 0.140, 0.580)
Cs (0.860, 0.860, 0.420)
Cs (0.000, 0.000, 0.000)
Rb (0.420, 0.420, 0.716)
Rb (0.580, 0.580, 0.284)
Au (0.214, 0.214, 0.850)
Au (0.786, 0.786, 0.150)

raw total energy: -14.1 eV per cell
theoretical density: 2.93 g/cm³
space group: C2/m (12)
total magnetic moment: 0.00 μB/f.u.
N(E_F): 7.713 states/eV/cell

=====

# 5
The following is a DFT calculation (PBE) of a geometry-optimized Cs2Rb5Au structure.

Cell: 9.147 9.122 12.226 Å, 54.49 54.65 80.62°
Sites, in units of the cell vectors:
Cs (0.292, 0.672, 0.574)
Cs (0.670, 0.281, 0.575)
Rb (0.789, 0.792, 0.006)
Rb (0.719, 0.307, 0.952)
Rb (0.296, 0.713, 0.960)
Rb (0.042, 0.039, 0.203)
Rb (0.262, 0.266, 0.458)
Au (0.154, 0.154, 0.826)

raw total energy: -10.2 eV per cell
theoretical density: 2.26 g/cm³
space group: P1 (1)
total magnetic moment: 0.00 μB/f.u.
N(E_F): 6.984 states/eV/cell

=====

# 6
The following is a DFT calculation (PBE) of a geometry-optimized Cs4Rb3Au3 structure.

Cell: 11.367 11.367 11.367 Å, 109.47 109.47 109.47°
Sites, in units of the cell vectors:
Cs (0.000, 0.000, 0.344)
Cs (0.500, 0.344, 0.500)
Cs (0.656, 0.156, 0.156)
Cs (0.000, 0.000, 0.844)
Cs (0.844, 0.500, 0.000)
Cs (0.500, 0.844, 0.500)
Cs (0.344, 0.500, 0.000)
Cs (0.156, 0.656, 0.656)
Rb (0.625, 0.750, 0.875)
Rb (0.875, 0.250, 0.625)
Rb (0.125, 0.375, 0.250)
Rb (0.375, 0.125, 0.750)
Rb (0.250, 0.875, 0.125)
Rb (0.750, 0.625, 0.375)
Au (0.125, 0.750, 0.375)
Au (0.375, 0.250, 0.125)
Au (0.625, 0.875, 0.250)
Au (0.875, 0.625, 0.750)
Au (0.250, 0.375, 0.625)
Au (0.750, 0.125, 0.875)

raw total energy: -35.5 eV per cell
theoretical density: 4.05 g/cm³
space group: I-43d (220)
total magnetic moment: 0.00 μB/f.u.
N(E_F): 24.634 states/eV/cell

=====

# 7
The following is a DFT calculation (PBE) of a geometry-optimized Cs12RbAu7 structure.

Cell: 7.515 13.525 13.525 Å, 116.65 100.67 100.67°
Sites, in units of the cell vectors:
Cs (0.237, 0.525, 0.141)
Cs (0.904, 0.141, 0.616)
Cs (0.635, 0.793, 0.078)
Cs (0.443, 0.078, 0.285)
Cs (0.288, 0.384, 0.525)
Cs (0.158, 0.715, 0.793)
Cs (0.842, 0.285, 0.207)
Cs (0.712, 0.616, 0.475)
Cs (0.557, 0.922, 0.715)
Cs (0.365, 0.207, 0.922)
Cs (0.096, 0.859, 0.384)
Cs (0.763, 0.475, 0.859)
Rb (0.000, 0.000, 0.000)
Au (0.126, 0.765, 0.081)
Au (0.955, 0.081, 0.316)
Au (0.639, 0.684, 0.765)
Au (0.500, 0.000, 0.000)
Au (0.361, 0.316, 0.235)
Au (0.045, 0.919, 0.684)
Au (0.874, 0.235, 0.919)

raw total energy: -38.6 eV per cell
theoretical density: 4.42 g/cm³
space group: R-3 (148)
total magnetic moment: 0.00 μB/f.u.
energy above the most stable polymorph in this dataset: 0.19 eV per formula unit
N(E_F): 10.536 states/eV/cell

=====

# 8
The following is a DFT calculation (PBE) of a geometry-optimized Cs8RbAu2 structure.

Cell: 7.765 10.916 10.916 Å, 112.89 95.35 95.35°
Sites, in units of the cell vectors:
Cs (0.921, 0.947, 0.658)
Cs (0.921, 0.658, 0.947)
Cs (0.261, 0.599, 0.599)
Cs (0.500, 0.731, 0.269)
Cs (0.500, 0.269, 0.731)
Cs (0.739, 0.401, 0.401)
Cs (0.079, 0.342, 0.053)
Cs (0.079, 0.053, 0.342)
Rb (0.500, 0.000, 0.000)
Au (0.000, 0.318, 0.682)
Au (0.000, 0.682, 0.318)

raw total energy: -15.5 eV per cell
theoretical density: 3.05 g/cm³
space group: C2/m (12)
total magnetic moment: 0.00 μB/f.u.
energy above the most stable polymorph in this dataset: 0.26 eV per formula unit
N(E_F): 7.984 states/eV/cell

=====

# 9
The following is a DFT calculation (PBE) of a geometry-optimized CsRb6Au structure.

Cell: 8.902 8.902 8.869 Å, 100.40 100.40 100.47°
Sites, in units of the cell vectors:
Cs (0.000, 0.000, 0.000)
Rb (0.226, 0.226, 0.593)
Rb (0.589, 0.223, 0.224)
Rb (0.774, 0.774, 0.407)
Rb (0.777, 0.411, 0.776)
Rb (0.411, 0.777, 0.776)
Rb (0.223, 0.589, 0.224)
Au (0.500, 0.500, 0.500)

raw total energy: -10.4 eV per cell
theoretical density: 2.11 g/cm³
space group: C2/m (12)
total magnetic moment: 0.00 μB/f.u.
N(E_F): 6.853 states/eV/cell

=====

# 10
The following is a DFT calculation (PBE) of a geometry-optimized Cs7Rb3Au4 structure.

Cell: 5.166 13.992 14.595 Å, 63.21 79.81 79.36°
Sites, in units of the cell vectors:
Cs (0.301, 0.835, 0.563)
Cs (0.538, 0.207, 0.717)
Cs (0.832, 0.465, 0.872)
Cs (0.699, 0.165, 0.437)
Cs (0.168, 0.535, 0.128)
Cs (0.000, 0.000, 0.000)
Cs (0.462, 0.793, 0.283)
Rb (0.332, 0.158, 0.177)
Rb (0.668, 0.842, 0.823)
Rb (0.000, 0.500, 0.500)
Au (0.752, 0.339, 0.156)
Au (0.248, 0.661, 0.844)
Au (0.854, 0.959, 0.333)
Au (0.146, 0.041, 0.667)

raw total energy: -24.2 eV per cell
theoretical density: 3.56 g/cm³
space group: C2/m (12)
total magnetic moment: 0.00 μB/f.u.
N(E_F): 9.989 states/eV/cell

=====

# 11
The following is a DFT calculation (PBE) of a geometry-optimized Cs8RbAu2 structure.

Cell: 7.375 11.844 11.844 Å, 84.73 71.84 71.84°
Sites, in units of the cell vectors:
Cs (0.159, 0.011, 0.670)
Cs (0.159, 0.670, 0.011)
Cs (0.844, 0.656, 0.656)
Cs (0.500, 0.671, 0.329)
Cs (0.500, 0.329, 0.671)
Cs (0.156, 0.344, 0.344)
Cs (0.841, 0.330, 0.989)
Cs (0.841, 0.989, 0.330)
Rb (0.500, 0.000, 0.000)
Au (0.000, 0.333, 0.667)
Au (0.000, 0.667, 0.333)

raw total energy: -15.8 eV per cell
theoretical density: 2.74 g/cm³
space group: Immm (71)
total magnetic moment: 0.00 μB/f.u.
energy above the most stable polymorph in this dataset: 0.00 eV per formula unit
N(E_F): 11.029 states/eV/cell

=====

# 12
The following is a DFT calculation (PBE) of a geometry-optimized Cs8RbAu6 structure.

Cell: 9.764 9.764 9.764 Å, 66.05 66.05 66.05°
Sites, in units of the cell vectors:
Cs (0.226, 0.562, 0.893)
Cs (0.107, 0.774, 0.438)
Cs (0.438, 0.107, 0.774)
Cs (0.666, 0.666, 0.666)
Cs (0.334, 0.334, 0.334)
Cs (0.562, 0.893, 0.226)
Cs (0.893, 0.226, 0.562)
Cs (0.774, 0.438, 0.107)
Rb (0.000, 0.000, 0.000)
Au (0.060, 0.393, 0.730)
Au (0.270, 0.940, 0.607)
Au (0.607, 0.270, 0.940)
Au (0.393, 0.730, 0.060)
Au (0.730, 0.060, 0.393)
Au (0.940, 0.607, 0.270)

raw total energy: -31.4 eV per cell
theoretical density: 5.20 g/cm³
space group: R-3 (148)
total magnetic moment: 0.93 μB/f.u.
N(E_F): 10.814 states/eV/cell